(1)
VASP calculation (GGA-PBE) on Y8Er3Tm2 after structural relaxation.

The structure in POSCAR format:
```
Y8Er3Tm2
1.0
10.025 -3.807 0.000
10.025 3.807 0.000
-0.003 0.000 5.622
Y Er Tm
8 3 2
direct
0.104 0.681 0.000
0.170 0.170 0.501
0.319 0.896 0.000
0.367 0.367 0.500
0.633 0.633 0.500
0.681 0.104 0.000
0.830 0.830 0.499
0.896 0.319 0.000
0.217 0.783 0.500
0.500 0.500 0.000
0.783 0.217 0.500
0.259 0.259 0.001
0.741 0.741 0.999
```

(2)
VASP calculation (GGA-PBE) on Y2ErTm9 after structural relaxation.

The structure in POSCAR format:
```
Y2ErTm9
1.0
4.955 0.000 0.000
0.000 4.955 0.000
0.000 0.000 14.865
Y Er Tm
2 1 9
direct
0.000 0.000 0.167
0.000 0.000 0.833
0.000 0.000 0.500
0.000 0.500 0.000
0.000 0.500 0.335
0.000 0.500 0.665
0.500 0.000 0.000
0.500 0.000 0.335
0.500 0.000 0.665
0.500 0.500 0.167
0.500 0.500 0.500
0.500 0.500 0.833
```

(3)
VASP calculation (GGA-PBE) on Y4Er5Tm4 after structural relaxation.

The structure in POSCAR format:
```
Y4Er5Tm4
1.0
-6.352 6.352 2.485
6.352 -6.352 2.485
6.352 6.352 -2.485
Y Er Tm
4 5 4
direct
0.153 0.769 0.923
0.231 0.153 0.384
0.769 0.847 0.616
0.847 0.231 0.077
0.000 0.000 0.000
0.307 0.538 0.845
0.462 0.307 0.770
0.538 0.693 0.230
0.693 0.462 0.155
0.076 0.386 0.462
0.386 0.924 0.309
0.614 0.076 0.691
0.924 0.614 0.538
```

(4)
VASP calculation (GGA-PBE) on Y2Er5Tm4 after structural relaxation.

The structure in POSCAR format:
```
Y2Er5Tm4
1.0
5.444 -3.638 0.000
5.444 3.638 0.000
-2.604 0.000 8.728
Y Er Tm
2 5 4
direct
0.146 0.146 0.123
0.854 0.854 0.877
0.000 0.000 0.500
0.208 0.650 0.220
0.350 0.792 0.780
0.650 0.208 0.220
0.792 0.350 0.780
0.326 0.326 0.504
0.333 0.333 0.880
0.667 0.667 0.120
0.674 0.674 0.496
```

(5)
VASP calculation (GGA-PBE) on Y3Er2Tm9 after structural relaxation.

The structure in POSCAR format:
```
Y3Er2Tm9
1.0
6.172 0.000 0.000
0.308 8.546 0.000
1.929 1.407 8.326
Y Er Tm
3 2 9
direct
0.000 0.000 0.000
0.245 0.376 0.271
0.755 0.624 0.729
0.448 0.967 0.699
0.552 0.033 0.301
0.000 0.000 0.500
0.092 0.312 0.697
0.198 0.612 0.899
0.344 0.668 0.495
0.496 0.243 0.914
0.504 0.757 0.086
0.656 0.332 0.505
0.802 0.388 0.101
0.908 0.688 0.303
```

(6)
VASP calculation (GGA-PBE) on Y2ErTm5 after structural relaxation.

The structure in POSCAR format:
```
Y2ErTm5
1.0
-3.510 3.510 4.966
3.510 -3.510 4.966
3.510 3.510 -4.966
Y Er Tm
2 1 5
direct
0.000 0.500 0.500
0.500 0.000 0.500
0.000 0.000 0.000
0.000 0.000 0.500
0.000 0.500 0.000
0.500 0.000 0.000
0.500 0.500 0.000
0.500 0.500 0.500
```

| no. | formation energy from the elements (eV per formula unit) |
| --- | --- |
| 1 | 3.10 |
| 2 | 0.35 |
| 3 | 0.35 |
| 4 | 1.60 |
| 5 | 1.72 |
| 6 | 0.24 |